Record 1
The following is a DFT calculation (GGA-PBE) of TlCoTcS3 after structural relaxation.

Lattice parameters (Å, degrees): 7.940 3.493 9.311 90.00 111.56 90.00
Element x y z (fractional)
1 Tl 0.021 0.250 0.216
2 Tl 0.979 0.750 0.784
3 Co 0.482 0.250 0.896
4 Co 0.518 0.750 0.104
5 Tc 0.470 0.750 0.678
6 Tc 0.530 0.250 0.322
7 S 0.262 0.250 0.670
8 S 0.338 0.250 0.062
9 S 0.345 0.750 0.388
10 S 0.655 0.250 0.612
11 S 0.662 0.750 0.938
12 S 0.738 0.750 0.330

Values from the calculation:
Crystal system ... monoclinic
E_form (uncorrected) ... -419 meV per atom
DFT total energy ... -69.5 eV for the cell shown
Mass density ... 6.33 g/cm3

Record 2
The following is a DFT calculation (GGA-PBE) of VCo2TcS after structural relaxation.

Lattice parameters (Å, degrees): 4.399 4.399 4.405 90.00 90.00 90.00
Element x y z (fractional)
1 V 0.000 0.000 0.000
2 Co 0.000 0.500 0.500
3 Co 0.500 0.000 0.500
4 Tc 0.500 0.500 0.500
5 S 0.500 0.500 0.000

Values from the calculation:
Crystal system ... tetragonal
E_form (uncorrected) ... 1258 meV per atom
DFT total energy ... -31.5 eV for the cell shown
Mass density ... 5.82 g/cm3

Record 3
The following is a DFT calculation (GGA-PBE) of Co2TeS2 after structural relaxation.

Lattice parameters (Å, degrees): 3.843 3.843 10.447 90.00 90.00 90.00
Element x y z (fractional)
1 Co 0.000 0.000 0.129
2 Co 0.000 0.000 0.871
3 Co 0.500 0.500 0.371
4 Co 0.500 0.500 0.629
5 Te 0.000 0.000 0.500
6 Te 0.500 0.500 0.000
7 S 0.000 0.500 0.250
8 S 0.000 0.500 0.750
9 S 0.500 0.000 0.250
10 S 0.500 0.000 0.750

Values from the calculation:
Crystal system ... tetragonal
E_form (uncorrected) ... 179 meV per atom
DFT total energy ... -49.4 eV for the cell shown
Mass density ... 6.66 g/cm3

Record 4
The following is a DFT calculation (GGA-PBE) of Co3TeS after structural relaxation.

Lattice parameters (Å, degrees): 4.752 4.752 4.752 90.00 90.00 90.00
Element x y z (fractional)
1 Co 0.000 0.000 0.500
2 Co 0.000 0.500 0.000
3 Co 0.500 0.000 0.000
4 Te 0.000 0.000 0.000
5 S 0.500 0.500 0.500

Values from the calculation:
Energy above the most stable polymorph in this dataset ... 4.87 eV per formula unit
Crystal system ... cubic
E_form (uncorrected) ... 1267 meV per atom
DFT total energy ... -22.3 eV for the cell shown
Mass density ... 5.21 g/cm3

no.,size of the total moment (μB per atom)
1,0.12
2,0.22
3,0.00
4,1.30